RbAc2S3 | Alexandria | PBE | relaxed; E = -0.2020 hartree per atom; crystal system = trigonal; SG = P-3m1, No. 164; magnetization = 0.0 μB/f.u.
1.0
-2.2432 -3.7139 0.6234
2.5175 1.6049 3.2094
-8.8020 5.9740 3.9170
S Ac Rb
3 2 1
Cartesian
-7.6774 2.8242 4.6099
-4.4010 2.9870 1.9585
-0.8504 1.0407 3.1400
-3.6747 0.1076 2.8286
-4.8531 3.7573 4.9212
0.0000 0.0000 0.0000

***

TlPICl2 | Alexandria | PBE | relaxed; E = -0.0873 hartree per atom; crystal system = tetragonal; SG = P4/mmm, No. 123; magnetization = 0.0 μB/f.u.
1.0
5.8782 0.0000 0.0000
0.0000 5.8782 0.0000
0.0000 0.0000 5.0687
Cl P Tl I
2 1 1 1
Cartesian
2.9391 0.0000 0.0000
0.0000 2.9391 0.0000
0.0000 0.0000 2.5343
2.9391 2.9391 2.5343
0.0000 0.0000 0.0000

***

Sb2TePPt | Alexandria | PBE | relaxed; E = -0.1412 hartree per atom; crystal system = tetragonal; SG = P4/mmm, No. 123; magnetization = 0.0 μB/f.u.
1.0
-0.7271 1.6422 -4.8298
-4.7722 -1.9428 0.0579
-1.9018 4.7279 1.8939
Sb P Pt Te
2 1 1 1
Cartesian
-0.3636 0.8211 -2.4149
-2.3861 -0.9714 0.0289
-3.7006 2.2136 -1.4390
0.0000 0.0000 0.0000
-0.9509 2.3639 0.9469

***

Short version: DOS at the Fermi energy = 2.27 3.20 4.50 states/eV/f.u., in the order given.
Short version: mass density = 5596 4107 6869 kg/m3, in the order given.
Short version: ΔE_f (raw) = -1.903 0.229 0.726 eV/atom, in the order given.